Compound: Pu2AlCr
Source: Alexandria
Functional: PBE
Structure: relaxed

Values from the calculation:
The distance to the lowest polymorph of the same formula comes out at 303 meV/atom. The magnetization is 6.61 μB per formula unit. The calculated total energy comes out at -10.1789 eV per atom. The value obtained for the formation energy is 329 meV/atom. The value obtained for the mass density is 12.37 g cm⁻³.

abc: 10.1660 10.1660 10.1660
angles: 16.75 16.75 16.75
Last column: nearest neighbours and their distance in Å.
Atoms (fractional coordinates):
Pu 0.2447 0.2447 0.2447  3 Cr 2.90, 6 Pu 2.96, 3 Al 3.17
Pu 0.7553 0.7553 0.7553  3 Cr 2.90, 6 Pu 2.96, 3 Al 3.17
Al 0.0000 0.0000 0.0000  6 Al 2.96, 6 Pu 3.17
Cr 0.5000 0.5000 0.5000  6 Pu 2.90, 6 Cr 2.96

***

Compound: PuAlZnCr
Source: Alexandria
Functional: PBE
Structure: relaxed

Values from the calculation:
The magnetization is 9.55 μB per formula unit. The calculated total energy comes out at -6.9944 eV per atom. The value obtained for the formation energy is 249 meV/atom. The value obtained for the mass density is 8.41 g cm⁻³.

abc: 4.7696 4.7696 4.7696
angles: 60.00 60.00 60.00
Last column: nearest neighbours and their distance in Å.
Atoms (fractional coordinates):
Pu 0.0000 0.0000 0.0000  4 Cr 2.92, 4 Zn 2.92
Al 0.5000 0.5000 0.5000  4 Zn 2.92, 4 Cr 2.92
Zn 0.2500 0.2500 0.2500  4 Al 2.92, 4 Pu 2.92
Cr 0.7500 0.7500 0.7500  4 Al 2.92, 4 Pu 2.92

***

Compound: RbAl2Cr
Source: Alexandria
Functional: PBE
Structure: relaxed

Values from the calculation:
The distance to the lowest polymorph of the same formula comes out at 0 meV/atom. The magnetization is 4.00 μB per formula unit. The calculated total energy comes out at -3.8213 eV per atom. The value obtained for the formation energy is 698 meV/atom. The value obtained for the mass density is 2.35 g cm⁻³.

abc: 9.7244 9.7244 9.7244
angles: 147.08 147.08 47.25
Last column: nearest neighbours and their distance in Å.
Atoms (fractional coordinates):
Rb 0.3750 0.6250 0.7500  8 Al 3.80, 4 Cr 3.90
Rb 0.6250 0.3750 0.2500  8 Al 3.80, 4 Cr 3.90
Al 0.0000 0.0000 0.0000  2 Cr 2.62, 2 Al 2.76
Al 0.0000 0.0000 0.5000  2 Cr 2.62, 2 Al 2.76
Al 0.0000 0.5000 0.0000  2 Cr 2.62, 2 Al 2.76
Al 0.5000 0.0000 0.5000  2 Cr 2.62, 2 Al 2.76
Cr 0.1250 0.8750 0.2500  4 Al 2.62
Cr 0.8750 0.1250 0.7500  4 Al 2.62

***

Compound: RbAl3Cr
Source: Alexandria
Functional: PBE
Structure: relaxed

Values from the calculation:
The distance to the lowest polymorph of the same formula comes out at 2165 meV/atom. The magnetization is 1.10 μB per formula unit. The calculated total energy comes out at -1.8174 eV per atom. The value obtained for the formation energy is 2546 meV/atom. The value obtained for the mass density is 2.17 g cm⁻³.

abc: 5.5043 5.5043 5.5043
angles: 90.00 90.00 90.00
Last column: nearest neighbours and their distance in Å.
Atoms (fractional coordinates):
Rb 0.0000 0.0000 0.0000  6 Al 2.75
Al 0.0000 0.0000 0.5000  2 Rb 2.75
Al 0.0000 0.5000 0.0000  2 Rb 2.75
Al 0.5000 0.0000 0.0000  2 Rb 2.75
Cr 0.5000 0.5000 0.5000  12 Al 3.89

***

Compound: RbAlCr2
Source: Alexandria
Functional: PBE
Structure: relaxed

Values from the calculation:
The magnetization is 8.74 μB per formula unit. The calculated total energy comes out at -4.8566 eV per atom. The value obtained for the formation energy is 1133 meV/atom. The value obtained for the mass density is 2.48 g cm⁻³.

abc: 9.7233 9.7233 9.7233
angles: 145.78 145.78 49.18
Last column: nearest neighbours and their distance in Å.
Atoms (fractional coordinates):
Rb 0.3750 0.6250 0.7500  8 Cr 3.89, 4 Al 4.05
Rb 0.6250 0.3750 0.2500  8 Cr 3.89, 4 Al 4.05
Al 0.1250 0.8750 0.2500  4 Cr 2.63
Al 0.8750 0.1250 0.7500  4 Cr 2.63
Cr 0.0000 0.0000 0.0000  2 Al 2.63, 2 Cr 2.86
Cr 0.0000 0.0000 0.5000  2 Al 2.63, 2 Cr 2.86
Cr 0.0000 0.5000 0.0000  2 Al 2.63, 2 Cr 2.86
Cr 0.5000 0.0000 0.5000  2 Al 2.63, 2 Cr 2.86

***

Compound: RbAl3Cr
Source: Alexandria
Functional: PBE
Structure: relaxed

Values from the calculation:
The distance to the lowest polymorph of the same formula comes out at 0 meV/atom. The magnetization is 1.91 μB per formula unit. The calculated total energy comes out at -3.9821 eV per atom. The value obtained for the formation energy is 382 meV/atom. The value obtained for the mass density is 3.00 g cm⁻³.

abc: 4.9461 4.9461 4.9461
angles: 90.00 90.00 90.00
Last column: nearest neighbours and their distance in Å.
Atoms (fractional coordinates):
Rb 0.0000 0.0000 0.0000  12 Al 3.50
Al 0.0000 0.5000 0.5000  2 Cr 2.47
Al 0.5000 0.0000 0.5000  2 Cr 2.47
Al 0.5000 0.5000 0.0000  2 Cr 2.47
Cr 0.5000 0.5000 0.5000  6 Al 2.47

***

Compound: RbAl2Cr
Source: Alexandria
Functional: PBE
Structure: relaxed

Values from the calculation:
The distance to the lowest polymorph of the same formula comes out at 588 meV/atom. The magnetization is 0.54 μB per formula unit. The calculated total energy comes out at -3.2329 eV per atom. The value obtained for the formation energy is 1286 meV/atom. The value obtained for the mass density is 3.65 g cm⁻³.

abc: 4.9733 4.9733 4.9733
angles: 60.00 60.00 60.00
Last column: nearest neighbours and their distance in Å.
Atoms (fractional coordinates):
Rb 0.0000 0.0000 0.0000  8 Al 3.05
Al 0.2500 0.2500 0.2500  4 Cr 3.05, 4 Rb 3.05
Al 0.7500 0.7500 0.7500  4 Cr 3.05, 4 Rb 3.05
Cr 0.5000 0.5000 0.5000  8 Al 3.05

***

Compound: Rb2AlCrSe4
Source: Alexandria
Functional: PBE
Structure: relaxed

Values from the calculation:
The value obtained for the energy relative to the elements, uncorrected is -17.2 kcal/mol of atoms. The magnetization is 2.99 μB per formula unit. The calculated total energy comes out at -4.3987 eV per atom. The value obtained for the mass density is 4.61 g cm⁻³.

abc: 8.3205 8.3205 8.3205
angles: 120.73 119.28 89.99
Last column: nearest neighbours and their distance in Å.
Atoms (fractional coordinates):
Rb 0.0000 0.0000 0.0000  6 Se 3.24
Rb 0.5000 0.0000 0.0000  6 Se 3.23-3.24
Rb 0.5000 0.0000 0.5000  6 Se 3.24
Rb 0.5000 0.5000 0.5000  6 Se 3.23-3.24
Al 0.0000 0.0000 0.5000  6 Se 2.70
Al 0.0000 0.5000 0.0000  6 Se 2.70
Cr 0.0000 0.5000 0.5000  6 Se 2.69
Cr 0.5000 0.5000 0.0000  6 Se 2.69
Se 0.1818 0.7265 0.4553  1 Cr 2.69, 2 Al 2.70
Se 0.2271 0.2752 0.5481  2 Cr 2.69, 1 Al 2.70
Se 0.2271 0.6790 0.9519  2 Cr 2.69, 1 Al 2.70
Se 0.2288 0.2735 0.9553  1 Cr 2.69, 2 Al 2.70
Se 0.7712 0.7265 0.0447  1 Cr 2.69, 2 Al 2.70
Se 0.7729 0.3210 0.0481  2 Cr 2.69, 1 Al 2.70
Se 0.7729 0.7248 0.4519  2 Cr 2.69, 1 Al 2.70
Se 0.8182 0.2735 0.5447  1 Cr 2.69, 2 Al 2.70

***

- The lowest magnetization belongs to which entry?
  number 7